# GdTlCd

A relaxed structure of GdTlCd (GGA-PBE, Alexandria).

Structure (POSCAR):
```
GdTlCd
1.0
-1.807 1.807 6.102
1.807 -1.807 6.102
1.807 1.807 -6.102
Gd Tl Cd
1 1 1
Direct
0.000 0.000 0.000 Gd
0.677 0.677 0.000 Tl
0.332 0.332 0.000 Cd
```

Calculated values
DOS(E_F) in states/eV/cell: 2.6
VASP energy in eV/atom: -6.012
SG: I4mm, No. 107